Density functional theory data (PBE-GGA) for a relaxed KRbPSe4 crystal.

Raw formation energy: -0.66 eV/atom
Density of states at the Fermi level: 1.9 states/eV/f.u.
Total magnetic moment: 0.00 μB per formula unit
Space group: P2_1/m, No. 11

abc: 7.1385 6.1219 11.9241
angles: 90.00 100.10 90.00
Positions (direct):
Se (0.5822, 0.2500, 0.8163)
P (0.1724, 0.7500, 0.2720)
Rb (0.2665, 0.2500, 0.0525)
Rb (0.7335, 0.7500, 0.9475)
Se (0.9503, 0.4914, 0.2125)
P (0.8276, 0.2500, 0.7280)
K (0.7460, 0.7500, 0.4307)
Se (0.0497, 0.5086, 0.7875)
Se (0.9503, 0.0086, 0.2125)
Se (0.0497, 0.9914, 0.7875)
Se (0.4178, 0.7500, 0.1837)
K (0.2540, 0.2500, 0.5693)
Se (0.7418, 0.2500, 0.5431)
Se (0.2582, 0.7500, 0.4569)

=====

Density functional theory data (PBE-GGA) for a relaxed Ca2LaMn crystal.

Density of states at the Fermi level: 4.1 states/eV/f.u.
Total magnetic moment: 3.24 μB per formula unit
Excess energy over the best structure of this formula in the dataset: 0.092 eV per atom
Energy of formation from the pure elements: 1.14 eV per formula unit
Space group: Imm2, No. 44

abc: 6.7989 6.7989 6.7989
angles: 147.53 129.39 61.43
Site moments in Bohr magnetons follow the coordinates.
Positions (direct):
Ca (0.7509, 0.2509, 0.5000)  -0.03
Ca (0.0442, 0.0442, 0.0000)  -0.03
Mn (0.2554, 0.7554, 0.5000)  3.62
La (0.4494, 0.4494, 0.0000)  -0.17

=====

Density functional theory data (PBE-GGA) for a relaxed Pm2Sn8Rh crystal.

Density of states at the Fermi level: 4.4 states/eV/f.u.
Total magnetic moment: 0.00 μB per formula unit
Excess energy over the best structure of this formula in the dataset: 0.000 eV per atom
Energy of formation from the pure elements: -4.80 eV per formula unit
Space group: P4/mmm, No. 123

abc: 4.7412 4.7412 12.5400
angles: 90.00 90.00 90.00
Positions (direct):
Sn (0.5000, 0.5000, 0.3049)
Pm (0.0000, 0.0000, 0.3142)
Pm (0.0000, 0.0000, 0.6858)
Sn (0.5000, 0.5000, 0.6951)
Sn (0.5000, 0.0000, 0.8787)
Rh (0.0000, 0.0000, 0.0000)
Sn (0.5000, 0.0000, 0.5000)
Sn (0.0000, 0.5000, 0.1213)
Sn (0.5000, 0.0000, 0.1213)
Sn (0.0000, 0.5000, 0.8787)
Sn (0.0000, 0.5000, 0.5000)

=====

Density functional theory data (PBE-GGA) for a relaxed BPAu crystal.

Density of states at the Fermi level: 0.5 states/eV/f.u.
Total magnetic moment: 0.00 μB per formula unit
Excess energy over the best structure of this formula in the dataset: 0.000 eV per atom
Energy of formation from the pure elements: -0.20 eV per formula unit
Space group: C2/m, No. 12

abc: 5.4669 3.2392 10.8151
angles: 90.00 110.47 90.00
Positions (direct):
B (0.8612, 0.5000, 0.0208)
B (0.1388, 0.0000, 0.4792)
B (0.8612, 0.0000, 0.5208)
P (0.2914, 0.0000, 0.9356)
P (0.2914, 0.5000, 0.4356)
P (0.7086, 0.0000, 0.0644)
Au (0.7647, 0.5000, 0.7940)
B (0.1388, 0.5000, 0.9792)
P (0.7086, 0.5000, 0.5644)
Au (0.7647, 0.0000, 0.2940)
Au (0.2353, 0.0000, 0.7060)
Au (0.2353, 0.5000, 0.2060)

=====

Density functional theory data (PBE-GGA) for a relaxed PrPaGaHg crystal.

Density of states at the Fermi level: 8.4 states/eV/f.u.
Total magnetic moment: 0.97 μB per formula unit
Energy of formation from the pure elements: -0.41 eV per formula unit
Space group: F-43m, No. 216

abc: 5.2723 5.2723 5.2723
angles: 60.00 60.00 60.00
Site moments in Bohr magnetons follow the coordinates.
Positions (direct):
Hg (0.2500, 0.2500, 0.2500)  0.01
Pa (0.0000, 0.0000, 0.0000)  0.76
Ga (0.7500, 0.7500, 0.7500)  0.00
Pr (0.5000, 0.5000, 0.5000)  0.05

=====

Density functional theory data (PBE-GGA) for a relaxed Rb2SnRh crystal.

Density of states at the Fermi level: 1.9 states/eV/f.u.
Total magnetic moment: 0.00 μB per formula unit
Energy of formation from the pure elements: 0.49 eV per formula unit
Space group: I-42d, No. 122

abc: 12.8961 12.8961 9.4551
angles: 47.00 47.00 90.00
Positions (direct):
Rb (0.8750, 0.6880, 0.7500)
Rh (0.2500, 0.7500, 0.5000)
Sn (0.0000, 0.0000, 0.0000)
Rb (0.3750, 0.5620, 0.7500)
Rb (0.3120, 0.6250, 0.2500)
Sn (0.7500, 0.2500, 0.5000)
Rh (0.5000, 0.5000, 0.0000)
Rb (0.4380, 0.1250, 0.2500)

=====

Density functional theory data (PBE-GGA) for a relaxed TlCoAu2C crystal.

Density of states at the Fermi level: 4.6 states/eV/f.u.
Total magnetic moment: 0.43 μB per formula unit
Energy of formation from the pure elements: 3.49 eV per formula unit
Space group: P4/mmm, No. 123

abc: 5.1060 3.5494 5.1060
angles: 90.00 90.00 90.00
Site moments in Bohr magnetons follow the coordinates.
Positions (direct):
Au (0.5000, 0.0000, 0.0000)  0.01
Tl (0.5000, 0.5000, 0.5000)  0.00
Co (0.0000, 0.0000, 0.0000)  0.42
Au (0.0000, 0.0000, 0.5000)  0.01
C (0.0000, 0.5000, 0.0000)  0.00

=====

Density functional theory data (PBE-GGA) for a relaxed PAu3Se crystal.

Raw formation energy: 0.94 eV/atom
Density of states at the Fermi level: 1.3 states/eV/f.u.
Total magnetic moment: 2.01 μB per formula unit
Excess energy over the best structure of this formula in the dataset: 0.496 eV per atom
Space group: Pm-3m, No. 221

abc: 5.0164 5.0164 5.0164
angles: 90.00 90.00 90.00
Site moments in Bohr magnetons follow the coordinates.
Positions (direct):
Au (0.0000, 0.0000, 0.5000)  0.00
Au (0.5000, 0.0000, 0.0000)  0.11
Au (0.0000, 0.5000, 0.0000)  0.10
P (0.5000, 0.5000, 0.5000)  0.78
Se (0.0000, 0.0000, 0.0000)  0.05

=====

Density functional theory data (PBE-GGA) for a relaxed Pu4In3Pb crystal.

Density of states at the Fermi level: 35.6 states/eV/f.u.
Total magnetic moment: 0.05 μB per formula unit
Energy of formation from the pure elements: -0.42 eV per formula unit
Space group: P4/mmm, No. 123

abc: 4.0697 4.0697 13.0838
angles: 90.00 90.00 90.00
Site moments in Bohr magnetons follow the coordinates.
Positions (direct):
Pu (0.0000, 0.0000, 0.3741)  -5.43
Pu (0.0000, 0.0000, 0.6259)  -5.43
In (0.5000, 0.5000, 0.7478)  0.00
Pu (0.0000, 0.0000, 0.1250)  5.44
Pb (0.5000, 0.5000, 0.0000)  -0.03
In (0.5000, 0.5000, 0.2522)  0.00
In (0.5000, 0.5000, 0.5000)  -0.01
Pu (0.0000, 0.0000, 0.8750)  5.44

=====

Density functional theory data (PBE-GGA) for a relaxed V6Co12Rh crystal.

Density of states at the Fermi level: 20.1 states/eV/f.u.
Total magnetic moment: 2.54 μB per formula unit
Energy of formation from the pure elements: 4.80 eV per formula unit
Space group: R-3m, No. 166

abc: 6.6903 6.6903 6.6903
angles: 108.51 108.51 108.51
Site moments in Bohr magnetons follow the coordinates.
Positions (direct):
Co (0.8895, 0.1105, 0.5000)  0.00
V (0.6963, 0.2362, 0.6963)  -0.06
Co (0.1737, 0.3896, 0.3896)  0.38
V (0.7638, 0.3037, 0.3037)  -0.06
Co (0.3896, 0.1737, 0.3896)  0.38
Co (0.5000, 0.1105, 0.8895)  0.00
Co (0.6104, 0.6104, 0.8263)  0.38
Co (0.1105, 0.5000, 0.8895)  0.00
Co (0.6104, 0.8263, 0.6104)  0.38
Rh (0.0000, 0.0000, 0.0000)  0.65
V (0.2362, 0.6963, 0.6963)  -0.06
Co (0.8895, 0.5000, 0.1105)  0.00
Co (0.3896, 0.3896, 0.1737)  0.38
Co (0.8263, 0.6104, 0.6104)  0.38
Co (0.1105, 0.8895, 0.5000)  0.00
Co (0.5000, 0.8895, 0.1105)  0.00
V (0.6963, 0.6963, 0.2362)  -0.06
V (0.3037, 0.7638, 0.3037)  -0.06
V (0.3037, 0.3037, 0.7638)  -0.06

=====

Density functional theory data (PBE-GGA) for a relaxed PmTlGeSe3 crystal.

Raw formation energy: -0.98 eV/atom
Total magnetic moment: 0.00 μB per formula unit
Space group: P2_1/m, No. 11

abc: 4.1023 8.5386 11.1460
angles: 105.68 90.00 90.00
Positions (direct):
Pm (0.2500, 0.6528, 0.1552)
Tl (0.2500, 0.2557, 0.2861)
Ge (0.2500, 0.1306, 0.5607)
Se (0.7500, 0.3333, 0.5765)
Se (0.2500, 0.0902, 0.7753)
Pm (0.7500, 0.3472, 0.8448)
Se (0.2500, 0.6667, 0.4235)
Ge (0.7500, 0.8694, 0.4393)
Se (0.7500, 0.3965, 0.1149)
Se (0.7500, 0.9098, 0.2247)
Tl (0.7500, 0.7443, 0.7139)
Se (0.2500, 0.6035, 0.8851)

=====

Density functional theory data (PBE-GGA) for a relaxed Cd2AgOs crystal.

Density of states at the Fermi level: 1.8 states/eV/f.u.
Total magnetic moment: 0.81 μB per formula unit
Excess energy over the best structure of this formula in the dataset: 0.066 eV per atom
Energy of formation from the pure elements: 1.64 eV per formula unit
Space group: R3m, No. 160

abc: 10.2546 10.2546 10.2546
angles: 16.14 16.14 16.14
Site moments in Bohr magnetons follow the coordinates.
Positions (direct):
Ag (0.7543, 0.7543, 0.7543)  0.03
Os (0.4982, 0.4982, 0.4982)  0.71
Cd (0.2435, 0.2435, 0.2435)  0.01
Cd (0.0039, 0.0039, 0.0039)  0.01